A relaxed SiTc2As crystal, computed with PBE-GGA.

abc: 4.9050 4.9050 4.9050
angles: 143.97 119.27 72.69
Sites, in units of the cell vectors:
Tc  0.4889  0.4889  0.0000
Tc  0.0111  0.0111  0.0000
Si  0.2500  0.7500  0.5000
As  0.7500  0.2500  0.5000

Calculated values
Energy above the most stable polymorph in this dataset, kcal/mol of atoms: 8.98
Uncorrected formation energy, eV/atom: 0.1051
Total moment, μB/f.u.: 0.0